[1]
{"formula": "Mg2SiMoAs4", "functional": "PBE-GGA", "state": "relaxed", "volume_a3_per_cell": 200, "space_group": "I-4 (82)", "final_energy_ev_per_atom": -4.841, "lattice_angstrom": [[-2.9669, 2.9669, 5.6930], [2.9669, -2.9669, 5.6930], [2.9669, 2.9669, -5.6930]], "species": ["Mg", "Mg", "Si", "Mo", "As", "As", "As", "As"], "frac_coords": [[0.0000, 0.0000, 0.0000], [0.7500, 0.2500, 0.5000], [0.5000, 0.5000, 0.0000], [0.2500, 0.7500, 0.5000], [0.1602, 0.1308, 0.5390], [0.3788, 0.8398, 0.9706], [0.5919, 0.6212, 0.4610], [0.8692, 0.4081, 0.0294]]}

[2]
{"formula": "HfBeCu", "functional": "PBE-GGA", "state": "relaxed", "relative_energy_mev_per_atom": 533, "volume_a3_per_cell": 52, "space_group": "F-43m (216)", "final_energy_ev_per_atom": -5.054, "lattice_angstrom": [[0.0000, 2.9573, 2.9573], [2.9573, 0.0000, 2.9573], [2.9573, 2.9573, 0.0000]], "species": ["Hf", "Be", "Cu"], "frac_coords": [[0.0000, 0.0000, 0.0000], [0.7500, 0.7500, 0.7500], [0.2500, 0.2500, 0.2500]]}

[3]
{"formula": "Er2TlOs", "functional": "PBE-GGA", "state": "relaxed", "volume_a3_per_cell": 93, "space_group": "P4/mmm (123)", "final_energy_ev_per_atom": -6.033, "lattice_angstrom": [[3.3876, 0.0000, 0.0000], [0.0000, 3.3876, 0.0000], [0.0000, 0.0000, 8.1023]], "species": ["Er", "Er", "Tl", "Os"], "frac_coords": [[0.0000, 0.0000, 0.2026], [0.0000, 0.0000, 0.7974], [0.5000, 0.5000, 0.5000], [0.5000, 0.5000, 0.0000]]}

[4]
{"formula": "GdAsOs", "functional": "PBE-GGA", "state": "relaxed", "volume_a3_per_cell": 65, "space_group": "F-43m (216)", "final_energy_ev_per_atom": -6.937, "lattice_angstrom": [[0.0000, 3.1856, 3.1856], [3.1856, 0.0000, 3.1856], [3.1856, 3.1856, 0.0000]], "species": ["Gd", "As", "Os"], "frac_coords": [[0.0000, 0.0000, 0.0000], [0.5000, 0.5000, 0.5000], [0.7500, 0.7500, 0.7500]]}

[5]
{"formula": "LuHf2Sn", "functional": "PBE-GGA", "state": "relaxed", "volume_a3_per_cell": 92, "space_group": "F-43m (216)", "final_energy_ev_per_atom": -7.143, "lattice_angstrom": [[0.0000, 3.5772, 3.5772], [3.5772, 0.0000, 3.5772], [3.5772, 3.5772, 0.0000]], "species": ["Lu", "Hf", "Hf", "Sn"], "frac_coords": [[0.0000, 0.0000, 0.0000], [0.2500, 0.2500, 0.2500], [0.5000, 0.5000, 0.5000], [0.7500, 0.7500, 0.7500]]}

[6]
{"formula": "TcOsNO", "functional": "PBE-GGA", "state": "relaxed", "relative_energy_mev_per_atom": 57, "volume_a3_per_cell": 180, "space_group": "Pca2_1 (29)", "final_energy_ev_per_atom": -8.882, "lattice_angstrom": [[6.0015, 0.0000, 0.0000], [0.0000, 6.3690, 0.0000], [0.0000, 0.0000, 4.7168]], "species": ["Tc", "Tc", "Tc", "Tc", "Os", "Os", "Os", "Os", "N", "N", "N", "N", "O", "O", "O", "O"], "frac_coords": [[0.1369, 0.1974, 0.0000], [0.3631, 0.1974, 0.5000], [0.6369, 0.8026, 0.0000], [0.8631, 0.8026, 0.5000], [0.0201, 0.6018, 0.9631], [0.4799, 0.6018, 0.4631], [0.5201, 0.3982, 0.9631], [0.9799, 0.3982, 0.4631], [0.1520, 0.6521, 0.5741], [0.3480, 0.6521, 0.0741], [0.6520, 0.3479, 0.5741], [0.8480, 0.3479, 0.0741], [0.0317, 0.0801, 0.6049], [0.4683, 0.0801, 0.1049], [0.5317, 0.9199, 0.6049], [0.9683, 0.9199, 0.1049]]}

[7]
{"formula": "SmHoSe2", "functional": "PBE-GGA", "state": "relaxed", "volume_a3_per_cell": 98, "space_group": "C2/m (12)", "final_energy_ev_per_atom": -5.838, "lattice_angstrom": [[3.5344, -2.0493, 0.0000], [3.5344, 2.0493, 0.0000], [-2.3754, 0.0000, 6.7589]], "species": ["Sm", "Ho", "Se", "Se"], "frac_coords": [[0.0000, 0.0000, 0.0000], [0.5000, 0.5000, 0.5000], [0.2463, 0.2463, 0.7386], [0.7537, 0.7537, 0.2614]]}

[8]
{"formula": "Li4Cd3Ga", "functional": "PBE-GGA", "state": "relaxed", "volume_a3_per_cell": 136, "space_group": "P-4m2 (115)", "final_energy_ev_per_atom": -1.942, "lattice_angstrom": [[4.5799, 0.0000, 0.0000], [0.0000, 4.5799, 0.0000], [0.0000, 0.0000, 6.4978]], "species": ["Li", "Li", "Li", "Li", "Cd", "Cd", "Cd", "Ga"], "frac_coords": [[0.0000, 0.0000, 0.0000], [0.0000, 0.5000, 0.7421], [0.5000, 0.0000, 0.2579], [0.5000, 0.5000, 0.5000], [0.0000, 0.5000, 0.2646], [0.5000, 0.0000, 0.7354], [0.5000, 0.5000, 0.0000], [0.0000, 0.0000, 0.5000]]}

[9]
{"formula": "DyFe5P3", "functional": "PBE-GGA", "state": "relaxed", "volume_a3_per_cell": 443, "space_group": "Pnma (62)", "final_energy_ev_per_atom": -7.677, "lattice_angstrom": [[11.7990, 0.0000, 0.0000], [0.0000, 3.6455, 0.0000], [0.0000, 0.0000, 10.2897]], "species": ["Dy", "Dy", "Dy", "Dy", "Fe", "Fe", "Fe", "Fe", "Fe", "Fe", "Fe", "Fe", "Fe", "Fe", "Fe", "Fe", "Fe", "Fe", "Fe", "Fe", "Fe", "Fe", "Fe", "Fe", "P", "P", "P", "P", "P", "P", "P", "P", "P", "P", "P", "P"], "frac_coords": [[0.2044, 0.2500, 0.0810], [0.2956, 0.7500, 0.5810], [0.7044, 0.2500, 0.4190], [0.7956, 0.7500, 0.9190], [0.0094, 0.7500, 0.0951], [0.0112, 0.7500, 0.7078], [0.0673, 0.7500, 0.4638], [0.1766, 0.2500, 0.7810], [0.2015, 0.2500, 0.3759], [0.2985, 0.7500, 0.8759], [0.3234, 0.7500, 0.2810], [0.4327, 0.2500, 0.9638], [0.4888, 0.2500, 0.2078], [0.4906, 0.2500, 0.5951], [0.5094, 0.7500, 0.4049], [0.5112, 0.7500, 0.7922], [0.5673, 0.7500, 0.0362], [0.6766, 0.2500, 0.7190], [0.7015, 0.2500, 0.1241], [0.7985, 0.7500, 0.6241], [0.8234, 0.7500, 0.2190], [0.9327, 0.2500, 0.5362], [0.9888, 0.2500, 0.2922], [0.9906, 0.2500, 0.9049], [0.1034, 0.7500, 0.8990], [0.1125, 0.2500, 0.5783], [0.1279, 0.7500, 0.2663], [0.3721, 0.2500, 0.7663], [0.3875, 0.7500, 0.0783], [0.3966, 0.2500, 0.3990], [0.6034, 0.7500, 0.6010], [0.6125, 0.2500, 0.9217], [0.6279, 0.7500, 0.2337], [0.8721, 0.2500, 0.7337], [0.8875, 0.7500, 0.4217], [0.8966, 0.2500, 0.1010]]}

[10]
{"formula": "ScTlCuIr", "functional": "PBE-GGA", "state": "relaxed", "relative_energy_mev_per_atom": 111, "volume_a3_per_cell": 70, "space_group": "F-43m (216)", "final_energy_ev_per_atom": -5.403, "lattice_angstrom": [[0.0000, 3.2680, 3.2680], [3.2680, 0.0000, 3.2680], [3.2680, 3.2680, 0.0000]], "species": ["Sc", "Tl", "Cu", "Ir"], "frac_coords": [[0.0000, 0.0000, 0.0000], [0.2500, 0.2500, 0.2500], [0.5000, 0.5000, 0.5000], [0.7500, 0.7500, 0.7500]]}

[11]
{"formula": "BaZrNO", "functional": "PBE-GGA", "state": "relaxed", "relative_energy_mev_per_atom": 31, "volume_a3_per_cell": 315, "space_group": "Pca2_1 (29)", "final_energy_ev_per_atom": -7.770, "lattice_angstrom": [[6.8062, 0.0000, 0.0000], [0.0000, 8.1035, 0.0000], [0.0000, 0.0000, 5.7130]], "species": ["Ba", "Ba", "Ba", "Ba", "Zr", "Zr", "Zr", "Zr", "N", "N", "N", "N", "O", "O", "O", "O"], "frac_coords": [[0.0606, 0.1391, 0.0000], [0.4394, 0.1391, 0.5000], [0.5606, 0.8609, 0.0000], [0.9394, 0.8609, 0.5000], [0.0936, 0.6094, 0.9901], [0.4064, 0.6094, 0.4901], [0.5936, 0.3906, 0.9901], [0.9064, 0.3906, 0.4901], [0.1148, 0.5585, 0.6314], [0.3852, 0.5585, 0.1314], [0.6148, 0.4415, 0.6314], [0.8852, 0.4415, 0.1314], [0.0586, 0.1732, 0.4864], [0.4414, 0.1732, 0.9864], [0.5586, 0.8268, 0.4864], [0.9414, 0.8268, 0.9864]]}

[12]
{"formula": "TmTlCuS3", "functional": "PBE-GGA", "state": "relaxed", "volume_a3_per_cell": 294, "space_group": "P2_1/m (11)", "final_energy_ev_per_atom": -4.828, "lattice_angstrom": [[8.6901, 0.0000, 0.0000], [0.0000, 3.8784, 0.0000], [-2.9032, 0.0000, 8.7190]], "species": ["Tm", "Tm", "Tl", "Tl", "Cu", "Cu", "S", "S", "S", "S", "S", "S"], "frac_coords": [[0.1747, 0.2500, 0.1447], [0.8253, 0.7500, 0.8553], [0.2923, 0.7500, 0.7727], [0.7077, 0.2500, 0.2273], [0.4160, 0.7500, 0.3970], [0.5840, 0.2500, 0.6030], [0.0353, 0.2500, 0.8402], [0.3106, 0.2500, 0.4625], [0.3861, 0.7500, 0.1375], [0.6139, 0.2500, 0.8625], [0.6894, 0.7500, 0.5375], [0.9647, 0.7500, 0.1598]]}

> Which formula does entry 8 have?

Li4Cd3Ga